Entry 1:
Compound: Ca2La
Source: Alexandria
Functional: PBEsol
Structure: optimized geometry

```
Ca2La
1.0
3.655 0.000 0.000
0.000 6.161 0.000
-1.827 0.000 10.119
Ca La
4 2
Direct
0.782 0.750 0.563 Ca
0.448 0.750 0.896 Ca
0.218 0.250 0.437 Ca
0.552 0.250 0.104 Ca
0.114 0.750 0.228 La
0.886 0.250 0.772 La
```

## Properties
VASP energy (eV/atom): -3.0973
Mass density (g/cm3): 3.19
Symmetry: Cmcm (63)
Polymorph energy (0 for the lowest one) (meV/atom): 55
E_form (meV/atom): 107



Entry 2:
Compound: Ca3La
Source: Alexandria
Functional: PBEsol
Structure: optimized geometry

```
Ca3La
1.0
3.704 0.000 0.000
0.000 6.634 0.000
-1.852 -3.317 6.257
Ca La
3 1
Direct
0.252 0.258 0.504 Ca
0.748 0.754 0.496 Ca
0.500 0.828 0.000 Ca
0.000 0.327 0.000 La
```

## Properties
VASP energy (eV/atom): -2.8489
Mass density (g/cm3): 2.80
Symmetry: Imm2 (44)
Polymorph energy (0 for the lowest one) (meV/atom): 41
E_form (meV/atom): 88



Entry 3:
Compound: CaLa2
Source: Alexandria
Functional: PBEsol
Structure: optimized geometry

```
CaLa2
1.0
3.507 0.000 0.000
0.000 5.946 0.000
0.000 -2.973 5.150
Ca La
1 2
Direct
0.000 0.000 0.000 Ca
0.280 0.333 0.667 La
0.720 0.667 0.333 La
```

## Properties
VASP energy (eV/atom): -4.1731
Mass density (g/cm3): 4.91
Symmetry: P-3m1 (164)
Polymorph energy (0 for the lowest one) (meV/atom): 65
E_form (meV/atom): 102



Entry 4:
Compound: CaLa
Source: Alexandria
Functional: PBEsol
Structure: optimized geometry

```
CaLa
1.0
3.690 0.000 0.000
0.000 5.934 0.000
0.000 0.000 13.327
Ca La
4 4
Direct
0.750 0.761 0.206 Ca
0.250 0.261 0.294 Ca
0.750 0.739 0.706 Ca
0.250 0.239 0.794 Ca
0.750 0.261 0.037 La
0.250 0.761 0.463 La
0.750 0.239 0.537 La
0.250 0.739 0.963 La
```

## Properties
VASP energy (eV/atom): -3.6804
Mass density (g/cm3): 4.07
Symmetry: Pnma (62)
Polymorph energy (0 for the lowest one) (meV/atom): 28
E_form (meV/atom): 59



Entry 5:
Compound: Ca3La
Source: Alexandria
Functional: PBEsol
Structure: optimized geometry

```
Ca3La
1.0
-3.583 0.446 -1.984
2.448 -2.491 -4.981
-1.175 -4.497 5.387
Ca La
3 1
Direct
0.753 0.753 0.506 Ca
0.500 0.000 0.000 Ca
0.247 0.247 0.494 Ca
0.000 0.500 0.000 La
```

## Properties
VASP energy (eV/atom): -2.8436
Mass density (g/cm3): 2.82
Symmetry: Immm (71)
Polymorph energy (0 for the lowest one) (meV/atom): 46
E_form (meV/atom): 93



Entry 6:
Compound: CaLa5
Source: Alexandria
Functional: PBEsol
Structure: optimized geometry

```
CaLa5
1.0
3.641 0.000 0.000
0.000 3.641 0.000
0.000 0.000 15.808
Ca La
1 5
Direct
0.500 0.500 0.000 Ca
0.000 0.000 0.818 La
0.000 0.000 0.182 La
0.500 0.500 0.664 La
0.500 0.500 0.336 La
0.000 0.000 0.500 La
```

## Properties
VASP energy (eV/atom): -4.7886
Mass density (g/cm3): 5.82
Symmetry: P4/mmm (123)
Polymorph energy (0 for the lowest one) (meV/atom): 0
E_form (meV/atom): 22



Entry 7:
Compound: CaLa2
Source: Alexandria
Functional: PBEsol
Structure: optimized geometry

```
CaLa2
1.0
-3.036 -1.362 1.594
5.408 -3.746 2.829
-0.527 7.149 5.103
Ca La
2 4
Direct
0.523 0.045 0.804 Ca
0.477 0.955 0.196 Ca
0.207 0.413 0.142 La
0.793 0.587 0.858 La
0.150 0.300 0.534 La
0.850 0.700 0.466 La
```

## Properties
VASP energy (eV/atom): -4.2039
Mass density (g/cm3): 4.85
Symmetry: C2/m (12)
Polymorph energy (0 for the lowest one) (meV/atom): 34
E_form (meV/atom): 71



Entry 8:
Compound: Ca3La
Source: Alexandria
Functional: PBEsol
Structure: optimized geometry

```
Ca3La
1.0
-2.738 -0.240 2.459
2.113 -4.795 1.885
4.173 3.811 5.018
Ca La
3 1
Direct
0.500 0.500 0.757 Ca
0.000 0.000 0.500 Ca
0.500 0.500 0.243 Ca
0.000 0.000 0.000 La
```

## Properties
VASP energy (eV/atom): -2.8478
Mass density (g/cm3): 2.77
Symmetry: Pmmm (47)
Polymorph energy (0 for the lowest one) (meV/atom): 42
E_form (meV/atom): 89



Entry 9:
Compound: Ca2La
Source: Alexandria
Functional: PBEsol
Structure: optimized geometry

```
Ca2La
1.0
3.715 0.000 0.000
-1.858 7.019 0.001
0.000 -2.216 8.701
Ca La
4 2
Direct
0.976 0.952 0.689 Ca
0.640 0.280 0.025 Ca
0.360 0.720 0.975 Ca
0.024 0.048 0.311 Ca
0.293 0.586 0.374 La
0.707 0.414 0.626 La
```

## Properties
VASP energy (eV/atom): -3.1522
Mass density (g/cm3): 3.21
Symmetry: C2/m (12)
Polymorph energy (0 for the lowest one) (meV/atom): 0
E_form (meV/atom): 52



Entry 10:
Compound: CaLa
Source: Alexandria
Functional: PBEsol
Structure: optimized geometry

```
CaLa
1.0
3.696 0.000 0.000
0.000 5.926 0.000
0.000 0.000 6.665
Ca La
2 2
Direct
0.000 0.000 0.588 Ca
0.500 0.500 0.412 Ca
0.500 0.000 0.074 La
0.000 0.500 0.926 La
```

## Properties
VASP energy (eV/atom): -3.6799
Mass density (g/cm3): 4.07
Symmetry: Pmmn (59)
Polymorph energy (0 for the lowest one) (meV/atom): 29
E_form (meV/atom): 60



Entry 11:
Compound: CaLa5
Source: Alexandria
Functional: PBEsol
Structure: optimized geometry

```
CaLa5
1.0
-1.000 -2.247 2.713
5.398 -2.593 -0.158
3.748 7.490 5.113
Ca La
1 5
Direct
0.002 0.000 0.003 Ca
0.326 0.000 0.651 La
0.673 0.000 0.345 La
0.437 0.500 0.874 La
0.784 0.500 0.567 La
0.113 0.500 0.226 La
```

## Properties
VASP energy (eV/atom): -4.7536
Mass density (g/cm3): 5.77
Symmetry: Amm2 (38)
Polymorph energy (0 for the lowest one) (meV/atom): 35
E_form (meV/atom): 57



Entry 12:
Compound: CaLa
Source: Alexandria
Functional: PBEsol
Structure: optimized geometry

```
CaLa
1.0
3.682 0.000 0.000
1.841 3.189 0.000
1.841 1.063 6.243
Ca La
1 1
Direct
0.000 0.000 0.000 Ca
0.500 0.500 0.500 La
```

## Properties
VASP energy (eV/atom): -3.6540
Mass density (g/cm3): 4.05
Symmetry: R-3m (166)
Polymorph energy (0 for the lowest one) (meV/atom): 55
E_form (meV/atom): 86



Entry 13:
Compound: CaLa
Source: Alexandria
Functional: PBEsol
Structure: optimized geometry

```
CaLa
1.0
-3.242 -1.473 -0.059
1.611 -3.711 4.134
-0.565 5.346 5.019
Ca La
2 2
Direct
0.064 0.250 0.128 Ca
0.936 0.750 0.872 Ca
0.311 0.250 0.621 La
0.689 0.750 0.379 La
```

## Properties
VASP energy (eV/atom): -3.6380
Mass density (g/cm3): 4.04
Symmetry: Cmcm (63)
Polymorph energy (0 for the lowest one) (meV/atom): 71
E_form (meV/atom): 102



Entry 14:
Compound: CaLa2
Source: Alexandria
Functional: PBEsol
Structure: optimized geometry

```
CaLa2
1.0
5.921 0.000 0.000
-2.961 5.128 0.000
0.000 0.000 7.131
Ca La
2 4
Direct
0.667 0.333 0.750 Ca
0.333 0.667 0.250 Ca
0.000 0.000 0.000 La
0.000 0.000 0.500 La
0.667 0.333 0.250 La
0.333 0.667 0.750 La
```

## Properties
VASP energy (eV/atom): -4.1181
Mass density (g/cm3): 4.88
Symmetry: P6_3/mmc (194)
Polymorph energy (0 for the lowest one) (meV/atom): 120
E_form (meV/atom): 157



Entry 15:
Compound: CaLa5
Source: Alexandria
Functional: PBEsol
Structure: optimized geometry

```
CaLa5
1.0
-1.968 -2.935 0.984
6.598 -1.400 2.182
-3.560 4.579 6.535
Ca La
1 5
Direct
0.002 0.005 0.998 Ca
0.674 0.347 0.343 La
0.324 0.648 0.664 La
0.386 0.771 0.283 La
0.052 0.104 0.600 La
0.729 0.458 0.946 La
```

## Properties
VASP energy (eV/atom): -4.7564
Mass density (g/cm3): 5.76
Symmetry: Cm (8)
Polymorph energy (0 for the lowest one) (meV/atom): 32
E_form (meV/atom): 54



Entry 16:
Compound: Ca3La
Source: Alexandria
Functional: PBEsol
Structure: optimized geometry

```
Ca3La
1.0
6.012 0.000 0.000
-3.006 5.212 0.043
0.000 3.427 4.939
Ca La
3 1
Direct
0.250 0.500 0.250 Ca
0.500 0.000 0.500 Ca
0.750 0.500 0.750 Ca
0.000 0.000 0.000 La
```

## Properties
VASP energy (eV/atom): -2.8356
Mass density (g/cm3): 2.80
Symmetry: Fm-3m (225)
Polymorph energy (0 for the lowest one) (meV/atom): 54
E_form (meV/atom): 101



Entry 17:
Compound: CaLa2
Source: Alexandria
Functional: PBEsol
Structure: optimized geometry

```
CaLa2
1.0
3.673 0.000 0.000
0.000 3.673 0.000
-1.836 -1.836 8.057
Ca La
1 2
Direct
0.000 0.000 0.000 Ca
0.675 0.675 0.350 La
0.325 0.325 0.650 La
```

## Properties
VASP energy (eV/atom): -4.2384
Mass density (g/cm3): 4.86
Symmetry: I4/mmm (139)
Polymorph energy (0 for the lowest one) (meV/atom): 0
E_form (meV/atom): 37



Entry 18:
Compound: Ca2La
Source: Alexandria
Functional: PBEsol
Structure: optimized geometry

```
Ca2La
1.0
-1.398 -0.155 3.309
1.095 -5.928 0.186
4.170 3.899 1.944
Ca La
2 1
Direct
0.613 0.333 0.667 Ca
0.387 0.667 0.333 Ca
0.000 0.000 0.000 La
```

## Properties
VASP energy (eV/atom): -3.1114
Mass density (g/cm3): 3.21
Symmetry: P-3m1 (164)
Polymorph energy (0 for the lowest one) (meV/atom): 41
E_form (meV/atom): 93



Entry 19:
Compound: CaLa
Source: Alexandria
Functional: PBEsol
Structure: optimized geometry

```
CaLa
1.0
3.693 0.000 0.000
0.000 6.625 0.009
-1.847 -3.033 5.996
Ca La
2 2
Direct
0.121 0.452 0.242 Ca
0.879 0.548 0.758 Ca
0.638 0.969 0.275 La
0.362 0.031 0.725 La
```

## Properties
VASP energy (eV/atom): -3.6630
Mass density (g/cm3): 4.05
Symmetry: C2/m (12)
Polymorph energy (0 for the lowest one) (meV/atom): 46
E_form (meV/atom): 77



Entry 20:
Compound: Ca3La
Source: Alexandria
Functional: PBEsol
Structure: optimized geometry

```
Ca3La
1.0
-1.846 -2.333 2.061
1.508 -4.501 -3.744
6.403 -0.394 3.053
Ca La
3 1
Direct
0.774 0.000 0.753 Ca
0.000 0.500 0.500 Ca
0.226 0.000 0.247 Ca
0.500 0.500 0.000 La
```

## Properties
VASP energy (eV/atom): -2.8559
Mass density (g/cm3): 2.81
Symmetry: P2/m (10)
Polymorph energy (0 for the lowest one) (meV/atom): 34
E_form (meV/atom): 81